! TlVMo2O PBE+U relaxed; values from VASP
! - final energy (eV per atom) = -3.660
! - SG = No. 123
! - size of the total moment (μB per formula unit) = 8.83
! - density (Mg/m³) = 5.623
! - DOS(E_F) (states/eV/cell) = 6.2
&SYSTEM
  ibrav = 0, nat = 5, ntyp = 4
/
ATOMIC_SPECIES
Tl 204.38 Tl.upf
V 50.94 V.upf
Mo 95.94 Mo.upf
O 16.00 O.upf
ATOMIC_POSITIONS crystal
Tl 0.0000 0.0000 0.0000
V 0.5000 0.5000 0.5000
Mo 0.0000 0.5000 0.0000
Mo 0.5000 0.0000 0.0000
O 0.0000 0.0000 0.5000
CELL_PARAMETERS angstrom
5.6979 0.0000 0.0000
0.0000 5.6979 0.0000
0.0000 0.0000 4.2132